Computed, not measured: a relaxed structure of Dy6InTe3As2 at the GGA-PBE level of DFT.

```
data_Dy6InTe3As2
_cell_length_a 9.623
_cell_length_b 9.623
_cell_length_c 8.732
_cell_angle_alpha 103.68
_cell_angle_beta 103.68
_cell_angle_gamma 25.29
_space_group_name_H-M_alt 'P 1'
_space_group_IT_number 1
loop_
_space_group_symop_operation_xyz
'x,y,z'
loop_
_atom_site_label
_atom_site_type_symbol
_atom_site_fract_x
_atom_site_fract_y
_atom_site_fract_z
Dy1 Dy 0.008 0.008 0.250
Dy2 Dy 0.326 0.326 0.433
Dy3 Dy 0.334 0.334 0.895
Dy4 Dy 0.666 0.666 0.105
Dy5 Dy 0.674 0.674 0.567
Dy6 Dy 0.992 0.992 0.750
In1 In 0.500 0.500 0.000
Te1 Te 0.166 0.166 0.831
Te2 Te 0.500 0.500 0.500
Te3 Te 0.834 0.834 0.169
As1 As 0.168 0.168 0.337
As2 As 0.832 0.832 0.663
```

Properties
SG: C2/m (12)
V in Å³ per atom: 27.92
Crystal system: monoclinic
Calculated total energy in hartree per atom: -0.19649